Record 1
VASP calculation (PBE) on a relaxed structure of AlCu2Ge.

Calculated values
The calculation puts the uncorrected energy at -3.882 eV per atom. As for the space group: Pm-3m (221).

```
AlCu2Ge
1.0
6.136 0.000 0.000
0.000 6.136 0.000
0.000 0.000 6.136
Al Cu Ge
4 8 4
direct
0.000 0.000 0.000
0.000 0.000 0.500
0.000 0.500 0.000
0.500 0.000 0.000
0.240 0.240 0.240
0.240 0.240 0.760
0.240 0.760 0.240
0.240 0.760 0.760
0.760 0.240 0.240
0.760 0.240 0.760
0.760 0.760 0.240
0.760 0.760 0.760
0.000 0.500 0.500
0.500 0.000 0.500
0.500 0.500 0.000
0.500 0.500 0.500
```

---

Record 2
VASP calculation (PBE) on a relaxed structure of DyGaPO.

Calculated values
The calculation puts the uncorrected energy at -5.915 eV per atom. For the energy above the most stable polymorph in this dataset, the calculation gives 195 meV per atom. As for the space group: Pmc2_1 (26).

```
DyGaPO
1.0
4.032 0.000 0.000
0.000 5.471 0.000
0.000 0.000 6.280
Dy Ga P O
2 2 2 2
direct
0.000 0.231 0.000
0.000 0.769 0.500
0.500 0.329 0.389
0.500 0.671 0.889
0.500 0.085 0.706
0.500 0.915 0.206
0.000 0.418 0.318
0.000 0.582 0.818
```